# 1
This record from Alexandria describes a relaxed Si2RhCl crystal. The functional is PBE.

The space group is Pm (No. 6) and the conventional cell measures 4.1687, 3.6609 and 5.1299 Å, with angles of 90.00, 103.25 and 90.00 degrees. The distinct sites, in fractional coordinates, are Si at (0.0000, 0.0000, 0.0000), Si at (0.3593, 0.5000, 0.9691), Rh at (0.8803, 0.5000, 0.2521) and Cl at (0.6996, 0.0000, 0.5752).

The energy relative to the lowest polymorph listed for this composition comes out at 0.0000 eV per atom.

---

# 2
This record from Alexandria describes a relaxed TbTm6Sc crystal. The functional is PBE.

The space group is P-1 (No. 2) and the conventional cell measures 6.4032, 6.6534 and 6.7039 Å, with angles of 118.33, 102.42 and 92.02 degrees. The distinct sites, in fractional coordinates, are Tb at (0.0000, 0.0000, 0.0000), Tm at (0.2388, 0.5819, 0.4915), Tm at (0.2526, 0.5597, 0.0040), Tm at (0.2734, 0.0947, 0.5316) and Sc at (0.5000, 0.0000, 0.0000).

The energy relative to the lowest polymorph listed for this composition comes out at 0.0000 eV per atom. For the energy of formation from the pure elements, the calculation gives 0.213 eV/atom.

---

# 3
This record from Alexandria describes a relaxed Dy6Tl5Sb crystal. The functional is PBE.

The space group is C2/m (No. 12) and the conventional cell measures 5.1726, 15.6312 and 8.0988 Å, with angles of 90.00, 90.08 and 90.00 degrees. The distinct sites, in fractional coordinates, are Dy at (0.0001, 0.0000, 0.2421), Dy at (0.9996, 0.3372, 0.2517), Tl at (0.0000, 0.1664, 0.5000), Tl at (0.0000, 0.1758, 0.0000), Tl at (0.0000, 0.5000, 0.5000) and Sb at (0.0000, 0.5000, 0.0000).

---

| no. | volume (A^3/atom) | electronic total energy (eV per atom) |
| --- | --- | --- |
| 1 | 19.1 | -5.13 |
| 2 | 30.3 | -4.51 |
| 3 | 27.3 | -4.04 |